This record from Alexandria describes a relaxed HfTiBe2 crystal. The functional is GGA-PBE.

Properties
- DOS at the Fermi energy: 5.70 states/eV/cell
- ΔE_f: 1.06 eV/f.u.
- Calculated total energy: -72.72 eV/cell
- Magnetic moment: 0.00 Bohr magnetons per cell
- Symmetry: R-3m
- Energy above the lowest structure with this stoichiometry: 0.3776 eV/atom

Cell lengths 3.108, 3.108, 21.892 Å; angles 90.00, 90.00, 120.00 degrees
Sites, in units of the cell vectors:
Hf  0.000  0.000  0.000
Hf  0.333  0.667  0.667
Hf  0.667  0.333  0.333
Ti  0.000  0.000  0.500
Ti  0.333  0.667  0.167
Ti  0.667  0.333  0.833
Be  0.000  0.000  0.246
Be  0.000  0.000  0.754
Be  0.333  0.667  0.421
Be  0.333  0.667  0.912
Be  0.667  0.333  0.088
Be  0.667  0.333  0.579